A relaxed structure of Cr2FeCo, computed with GGA-PBE.

space group: No. 12

POSCAR file:
```
Cr2FeCo
1.0
4.832 0.000 0.000
0.000 8.044 0.000
-0.681 0.000 2.328
Cr Fe Co
4 2 2
Direct
0.250 0.250 0.000
0.250 0.750 0.000
0.750 0.250 0.000
0.750 0.750 0.000
0.000 0.000 0.500
0.500 0.500 0.500
0.000 0.500 0.500
0.500 0.000 0.500
```

A relaxed structure of PmUFe3, computed with GGA-PBE.

space group: No. 14

POSCAR file:
```
PmUFe3
1.0
8.122 0.000 0.000
0.000 5.572 0.000
-3.258 0.000 7.875
Pm U Fe
4 4 12
Direct
0.107 0.089 0.215
0.107 0.411 0.715
0.893 0.589 0.285
0.893 0.911 0.785
0.382 0.715 0.070
0.382 0.785 0.570
0.618 0.215 0.430
0.618 0.285 0.930
0.137 0.568 0.077
0.137 0.932 0.577
0.363 0.509 0.367
0.363 0.991 0.867
0.373 0.217 0.586
0.373 0.283 0.086
0.627 0.717 0.914
0.627 0.783 0.414
0.637 0.009 0.133
0.637 0.491 0.633
0.863 0.068 0.423
0.863 0.432 0.923
```

A relaxed structure of PmEr6In2, computed with GGA-PBE.

space group: No. 12

POSCAR file:
```
PmEr6In2
1.0
6.307 -1.862 0.000
6.307 1.862 0.000
-3.637 0.000 11.333
Pm Er In
1 6 2
Direct
0.000 0.000 0.000
0.013 0.013 0.346
0.310 0.310 0.418
0.314 0.314 0.125
0.686 0.686 0.875
0.690 0.690 0.582
0.987 0.987 0.654
0.355 0.355 0.785
0.645 0.645 0.215
```

Calculated formation energy list, top to bottom, in kJ/mol of formula units: 49 4 -172